The following is a DFT calculation (GGA-PBE) of a geometry-optimized PrDyGaIr structure.

Lattice parameters (Å, degrees): 4.2843 3.9902 6.0381 90.00 110.78 90.00
With the nearest neighbours (Å) after each atom.
Fractional positions:
1 Pr 0.1522 0.0000 0.3044  1 Ir 3.00, 4 Ga 3.10
2 Dy 0.8671 0.5000 0.7343  4 Ir 2.98, 2 Ga 3.08
3 Ga 0.5630 0.5000 0.1260  2 Ir 2.58
4 Ir 0.4177 0.0000 0.8354  2 Ga 2.58

Computed properties:
**SG**: No. 38
**Uncorrected energy**: -24.0 eV/f.u.
**DOS at the Fermi energy**: 0.846 states/eV per atom
**Theoretical density**: 9.7 g cm⁻³

=====

The following is a DFT calculation (GGA-PBE) of a geometry-optimized Pr2DyGa3Ir4 structure.

Lattice parameters (Å, degrees): 4.2773 4.2773 11.1387 90.00 90.00 90.00
With the nearest neighbours (Å) after each atom.
Fractional positions:
1 Pr 0.5000 0.0000 0.2234  4 Ga 3.25, 8 Ir 3.28-3.31
2 Pr 0.0000 0.5000 0.7766  4 Ga 3.25, 8 Ir 3.28-3.31
3 Dy 0.5000 0.5000 0.5000  4 Ir 2.75, 4 Ga 3.02
4 Ga 0.0000 0.0000 0.5000  4 Ir 2.75, 4 Dy 3.02
5 Ga 0.5000 0.0000 0.8826  5 Ir 2.51-2.53
6 Ga 0.0000 0.5000 0.1174  5 Ir 2.51-2.53
7 Ir 0.5000 0.5000 0.0000  4 Ga 2.51
8 Ir 0.0000 0.0000 0.0000  4 Ga 2.51
9 Ir 0.5000 0.0000 0.6555  3 Ga 2.53-2.75, 2 Dy 2.75
10 Ir 0.0000 0.5000 0.3445  3 Ga 2.53-2.75, 2 Dy 2.75

Computed properties:
**SG**: No. 115
**Uncorrected energy**: -65.7 eV/f.u.
**DOS at the Fermi energy**: 0.613 states/eV per atom
**Theoretical density**: 11.6 g cm⁻³

=====

The following is a DFT calculation (GGA-PBE) of a geometry-optimized PrDyGaIr structure.

Lattice parameters (Å, degrees): 5.0629 5.0629 5.0629 60.00 60.00 60.00
With the nearest neighbours (Å) after each atom.
Fractional positions:
1 Pr 0.5000 0.5000 0.5000  4 Ir 3.10, 4 Ga 3.10
2 Ir 0.7500 0.7500 0.7500  4 Pr 3.10, 4 Dy 3.10
3 Ga 0.2500 0.2500 0.2500  4 Dy 3.10, 4 Pr 3.10
4 Dy 0.0000 0.0000 0.0000  4 Ga 3.10, 4 Ir 3.10

Computed properties:
**SG**: No. 216
**Uncorrected energy**: -23.5 eV/f.u.
**DOS at the Fermi energy**: 0.887 states/eV per atom
**Theoretical density**: 10.2 g cm⁻³

=====

The following is a DFT calculation (GGA-PBE) of a geometry-optimized PrDyGa2Ir2 structure.

Lattice parameters (Å, degrees): 4.4089 4.4089 7.3899 90.00 90.00 120.00
With the nearest neighbours (Å) after each atom.
Fractional positions:
1 Pr 0.0000 0.0000 0.0000  6 Ir 3.24, 6 Ga 3.24
2 Dy 0.0000 0.0000 0.5000  6 Ga 3.05, 6 Ir 3.05
3 Ga 0.6667 0.3333 0.7279  3 Ir 2.55
4 Ga 0.3333 0.6667 0.2721  3 Ir 2.55
5 Ir 0.6667 0.3333 0.2720  3 Ga 2.55
6 Ir 0.3333 0.6667 0.7280  3 Ga 2.55

Computed properties:
**SG**: No. 164
**Uncorrected energy**: -37.7 eV/f.u.
**DOS at the Fermi energy**: 0.774 states/eV per atom
**Theoretical density**: 11.0 g cm⁻³

=====

ΔE_f, record by record: -0.6703 -0.6984 -0.5573 -0.7572 eV/atom
Total magnetic moment, record by record: 0.00 0.00 0.00 0.00 μB per formula unit